1.
Computed, not measured: a relaxed ZnAgW2O8 crystal at the GGA+U level of DFT.

Unit cell a=6.038 b=6.038 c=6.038 alpha=110.08 beta=110.08 gamma=108.27
Element x y z (fractional)
Zn 0.000 0.000 0.000
Ag 0.250 0.750 0.500
W 0.500 0.500 0.000
W 0.750 0.250 0.500
O 0.342 0.137 0.794
O 0.342 0.548 0.206
O 0.386 0.104 0.283
O 0.452 0.658 0.794
O 0.821 0.104 0.717
O 0.863 0.658 0.206
O 0.896 0.179 0.283
O 0.896 0.614 0.717

- final energy (eV for the cell shown) = -74.27



2.
Computed, not measured: a relaxed PmV2CrO8 crystal at the GGA+U level of DFT.

Unit cell a=5.908 b=5.908 c=5.908 alpha=106.86 beta=106.86 gamma=114.84
Element x y z (fractional)
Pm 0.000 0.000 0.000
V 0.500 0.500 0.000
V 0.750 0.250 0.500
Cr 0.250 0.750 0.500
O 0.330 0.132 0.803
O 0.330 0.527 0.197
O 0.387 0.069 0.318
O 0.473 0.670 0.803
O 0.751 0.069 0.682
O 0.868 0.670 0.197
O 0.931 0.249 0.318
O 0.931 0.613 0.682

- final energy (eV for the cell shown) = -91.88



3.
Computed, not measured: a relaxed LiMnF3 crystal at the GGA+U level of DFT.

Unit cell a=6.664 b=6.664 c=5.857 alpha=91.93 beta=91.93 gamma=84.91
Element x y z (fractional)
Li 0.164 0.164 0.602
Li 0.171 0.829 0.000
Li 0.829 0.171 0.000
Li 0.836 0.836 0.398
Mn 0.266 0.266 0.181
Mn 0.313 0.687 0.500
Mn 0.687 0.313 0.500
Mn 0.734 0.734 0.819
F 0.024 0.730 0.643
F 0.125 0.125 0.907
F 0.222 0.579 0.170
F 0.270 0.976 0.357
F 0.359 0.359 0.550
F 0.421 0.778 0.830
F 0.579 0.222 0.170
F 0.641 0.641 0.450
F 0.730 0.024 0.643
F 0.778 0.421 0.830
F 0.875 0.875 0.093
F 0.976 0.270 0.357

- final energy (eV for the cell shown) = -114.73



Which value of final energy does entry 2 give? -91.88 eV for the cell shown



The highest final energy belongs to which entry? ZnAgW2O8



What is the final energy in the second record? -91.88 eV for the cell shown